Entry from the Alexandria database: a geometry-optimized Tl2IO2 structure (GGA-PBE).

abc: 7.157 7.157 7.157
angles: 146.19 146.19 48.56
Fractional coordinates of all 5 atoms:
Tl 0.170 0.170 0.000
Tl 0.830 0.830 0.000
I 0.500 0.500 0.000
O 0.250 0.750 0.500
O 0.750 0.250 0.500

Values from the calculation:
As for the symmetry: I4/mmm, No. 139. Its raw formation energy is -0.36 eV per atom. As for the size of the total moment: 0.0 μB per formula unit. The distance to the lowest polymorph of the same formula is 129 meV per atom. The volume is 22.6 A^3/atom.